The following is a DFT calculation (PBE with a Hubbard U) of a relaxed structure of Nd2CoPdO6.

Cell: 5.4615 5.8309 7.8138 Å, 90.00 89.98 90.00°
Last column: magnetic moment on the atom in μB.
Positions (direct):
Co (0.5000, 0.0000, 0.0000)  2.65
Co (0.0000, 0.5000, 0.5000)  2.65
O (0.3992, 0.9672, 0.7521)  0.05
O (0.8051, 0.8032, 0.5509)  0.04
O (0.8067, 0.7978, 0.9474)  0.04
O (0.6008, 0.0328, 0.2479)  0.05
O (0.1008, 0.4672, 0.7479)  0.05
O (0.6933, 0.2978, 0.5526)  0.04
O (0.3051, 0.6968, 0.0509)  0.04
O (0.1933, 0.2022, 0.0526)  0.04
O (0.6949, 0.3032, 0.9491)  0.04
O (0.3067, 0.7022, 0.4474)  0.04
O (0.1949, 0.1968, 0.4491)  0.04
O (0.8992, 0.5328, 0.2521)  0.05
Nd (0.5195, 0.5682, 0.7501)  0.00
Nd (0.0195, 0.9318, 0.2501)  0.00
Nd (0.4805, 0.4318, 0.2499)  0.00
Nd (0.9805, 0.0682, 0.7499)  0.00
Pd (0.0000, 0.5000, 0.0000)  0.07
Pd (0.5000, 0.0000, 0.5000)  0.07

Values from the calculation:
**SG**: P2_1/c
**E_tot**: -140.70 eV/cell